# 1
Na2CaHg2: optimized geometry, PBE.

For the formation energy, the calculation gives -262.6 meV/atom. The calculation puts the volume at 30.642 A^3/atom. As for the energy above the lowest structure with this stoichiometry: 0 meV per atom. As for the magnetic moment: 0.0000 μB/atom.

The space group is C2/m (No. 12) and the conventional cell measures 9.107, 5.256 and 6.401 Å, with angles of 90.00, 90.18 and 90.00 degrees. The inequivalent atoms are Na at (0.166, 0.000, 0.136), Ca at (0.000, 0.500, 0.500) and Hg at (0.167, 0.000, 0.641).


# 2
BaReMo2: optimized geometry, PBE.

For the formation energy, the calculation gives 818.5 meV/atom. The calculation puts the volume at 22.825 A^3/atom. As for the energy above the lowest structure with this stoichiometry: 72 meV per atom. As for the magnetic moment: 0.0000 μB/atom.

The space group is Pm (No. 6) and the conventional cell measures 2.983, 4.197 and 7.391 Å, with angles of 90.00, 99.39 and 90.00 degrees. The inequivalent atoms are Ba at (0.000, 0.000, 0.000), Re at (0.253, 0.500, 0.657), Mo at (0.550, 0.000, 0.512) and Mo at (0.831, 0.500, 0.350).


# 3
TmSc3Tl3: optimized geometry, PBE.

For the formation energy, the calculation gives -198.3 meV/atom. The calculation puts the volume at 24.820 A^3/atom. As for the magnetic moment: 0.0001 μB/atom.

The space group is P6_3/m (No. 176) and the conventional cell measures 8.9353, 8.9353 and 5.0255 Å, with angles of 90.00, 90.00 and 120.00 degrees. The inequivalent atoms are Tm at (0.3333, 0.6667, 0.2500), Sc at (0.0067, 0.2243, 0.2500) and Tl at (0.0748, 0.4447, 0.7500).


# 4
LaAgOs2: optimized geometry, PBE.

For the formation energy, the calculation gives 286.1 meV/atom. The calculation puts the volume at 19.897 A^3/atom. As for the energy above the lowest structure with this stoichiometry: 0 meV per atom. As for the magnetic moment: 0.0001 μB/atom.

The space group is Pm (No. 6) and the conventional cell measures 2.883, 3.825 and 7.216 Å, with angles of 90.00, 90.15 and 90.00 degrees. The inequivalent atoms are La at (0.000, 0.000, 0.000), Ag at (0.500, 0.500, 0.683), Os at (0.000, 0.000, 0.432) and Os at (0.499, 0.500, 0.296).


# 5
Ba4SiN4: optimized geometry, PBE.

For the uncorrected formation energy, the calculation gives -0.57 eV/atom. The calculation puts the volume at 20.440 A^3/atom. As for the magnetic moment: 0.0000 μB/atom.

The space group is P4_2/nmc (No. 137, origin choice 2) and the conventional cell measures 7.992, 7.992 and 5.761 Å, with angles of 90.00, 90.00 and 90.00 degrees. The inequivalent atoms are Ba at (0.028, 0.250, 0.106), Si at (0.250, 0.750, 0.250) and N at (0.066, 0.750, 0.437).


# 6
Cu3Br: optimized geometry, PBE.

For the uncorrected formation energy, the calculation gives 0.17 eV/atom. The calculation puts the volume at 16.756 A^3/atom. As for the energy above the lowest structure with this stoichiometry: 64 meV per atom. As for the magnetic moment: 0.0000 μB/atom.

The space group is P2/m (No. 10) and the conventional cell measures 3.262, 3.244 and 6.335 Å, with angles of 90.00, 90.15 and 90.00 degrees. The inequivalent atoms are Cu at (0.000, 0.000, 0.000), Cu at (0.500, 0.500, 0.188) and Br at (0.500, 0.000, 0.500).


# 7
ZnAs2Rh: optimized geometry, PBE.

For the formation energy, the calculation gives -26.3 meV/atom. The calculation puts the volume at 17.151 A^3/atom. As for the magnetic moment: 0.0000 μB/atom.

The space group is R3m (No. 160, hexagonal axes) and the conventional cell measures 3.0826, 3.0826 and 25.0101 Å, with angles of 90.00, 90.00 and 120.00 degrees. The inequivalent atoms are Zn at (0.0000, 0.0000, 0.0000), As at (0.0000, 0.0000, 0.5188), As at (0.0000, 0.0000, 0.7539) and Rh at (0.0000, 0.0000, 0.2537).


# 8
BaNi2: optimized geometry, PBE.

For the formation energy, the calculation gives 106.3 meV/atom. The calculation puts the volume at 22.511 A^3/atom. As for the magnetic moment: 0.1664 μB/atom.

The space group is C2/m (No. 12) and the conventional cell measures 11.419, 4.097 and 7.409 Å, with angles of 90.00, 128.80 and 90.00 degrees. The inequivalent atoms are Ba at (0.067, 0.000, 0.339), Ni at (0.129, 0.500, 0.076) and Ni at (0.247, 0.000, 0.091).